# RbGdW2O8 (GGA+U, relaxed)
# E_tot = -8.17 eV/atom
# symmetry = C2/c (15)
# density of states at the Fermi level = 0.00 states/eV per cell
# size of the total moment = 6.963 μB/f.u.
data_RbGdW2O8
_cell_length_a 7.7340
_cell_length_b 7.7340
_cell_length_c 7.5249
_cell_angle_alpha 117.58
_cell_angle_beta 117.58
_cell_angle_gamma 88.70
_symmetry_space_group_name_H-M 'P 1'
_symmetry_Int_Tables_number 1
_symmetry_space_group_name_Hall 'P 1'
loop_
_atom_site_label
_atom_site_type_symbol
_atom_site_fract_x
_atom_site_fract_y
_atom_site_fract_z
Rb1 Rb 0.2052 0.7948 0.7500
Rb2 Rb 0.7948 0.2052 0.2500
Gd1 Gd 0.2240 0.7760 0.2500
Gd2 Gd 0.7760 0.2240 0.7500
W1 W 0.3012 0.3106 0.2855
W2 W 0.3106 0.3012 0.7855
W3 W 0.6894 0.6988 0.2145
W4 W 0.6988 0.6894 0.7145
O1 O 0.0465 0.2303 0.6969
O2 O 0.0588 0.3626 0.1268
O3 O 0.2303 0.0465 0.1969
O4 O 0.2516 0.3751 0.5604
O5 O 0.3626 0.0588 0.6268
O6 O 0.3751 0.2516 0.0604
O7 O 0.3746 0.5928 0.0347
O8 O 0.4072 0.6254 0.4653
O9 O 0.5928 0.3746 0.5347
O10 O 0.6254 0.4072 0.9653
O11 O 0.6249 0.7484 0.9396
O12 O 0.6374 0.9412 0.3732
O13 O 0.7484 0.6249 0.4396
O14 O 0.7697 0.9535 0.8031
O15 O 0.9412 0.6374 0.8732
O16 O 0.9535 0.7697 0.3031